Model a:
# LaTlSbTe2 (PBE, optimized geometry)
data_LaTlSbTe2
_chemical_formula_sum 'La1 Tl1 Sb1 Te2'
_cell_length_a 5.7404
_cell_length_b 5.7404
_cell_length_c 5.5599
_cell_angle_alpha 90.00
_cell_angle_beta 90.00
_cell_angle_gamma 90.00
_symmetry_space_group_name_H-M 'P 4/m m m'
_symmetry_Int_Tables_number 123
_symmetry_space_group_name_Hall '-P 4 2'
loop_
_atom_site_label
_atom_site_fract_x
_atom_site_fract_y
_atom_site_fract_z
_atom_site_occupancy
La1 0.0000 0.0000 0.0000 1
Tl1 0.5000 0.5000 0.5000 1
Sb1 0.5000 0.5000 0.0000 1
Te1 0.0000 0.5000 0.5000 1
# **Volume**: 183.21 Å³/cell
# **Fermi-level density of states**: 3.535 states/eV/cell

***

Model b:
# LaTlSbTe2 (PBE, optimized geometry)
data_LaTlSbTe2
_chemical_formula_sum 'La1 Tl1 Sb1 Te2'
_cell_length_a 6.1709
_cell_length_b 6.1709
_cell_length_c 6.1673
_cell_angle_alpha 90.00
_cell_angle_beta 90.00
_cell_angle_gamma 90.00
_symmetry_space_group_name_H-M 'P 4/m m m'
_symmetry_Int_Tables_number 123
_symmetry_space_group_name_Hall '-P 4 2'
loop_
_atom_site_label
_atom_site_fract_x
_atom_site_fract_y
_atom_site_fract_z
_atom_site_occupancy
La1 0.0000 0.0000 0.0000 1
Tl1 0.5000 0.5000 0.5000 1
Sb1 0.0000 0.0000 0.5000 1
Te1 0.0000 0.5000 0.0000 1
# **Volume**: 234.86 Å³/cell
# **Fermi-level density of states**: 5.449 states/eV/cell

***

Q: Which of them is the most stable? A: model b.

***

Model a:
# LaYSb2Te (PBE, optimized geometry)
data_LaYSb2Te
_chemical_formula_sum 'La1 Y1 Sb2 Te1'
_cell_length_a 5.9004
_cell_length_b 5.9004
_cell_length_c 5.9579
_cell_angle_alpha 90.00
_cell_angle_beta 90.00
_cell_angle_gamma 90.00
_symmetry_space_group_name_H-M 'P 4/m m m'
_symmetry_Int_Tables_number 123
_symmetry_space_group_name_Hall '-P 4 2'
loop_
_atom_site_label
_atom_site_fract_x
_atom_site_fract_y
_atom_site_fract_z
_atom_site_occupancy
La1 0.0000 0.0000 0.0000 1
Y1 0.5000 0.5000 0.5000 1
Sb1 0.0000 0.5000 0.0000 1
Te1 0.0000 0.0000 0.5000 1
# **Volume**: 207.42 Å³/cell
# **Fermi-level density of states**: 5.662 states/eV/cell

***

Model b:
# LaYSb2Te (PBE, optimized geometry)
data_LaYSb2Te
_chemical_formula_sum 'La1 Y1 Sb2 Te1'
_cell_length_a 5.6809
_cell_length_b 5.6809
_cell_length_c 5.7651
_cell_angle_alpha 90.00
_cell_angle_beta 90.00
_cell_angle_gamma 90.00
_symmetry_space_group_name_H-M 'P 4/m m m'
_symmetry_Int_Tables_number 123
_symmetry_space_group_name_Hall '-P 4 2'
loop_
_atom_site_label
_atom_site_fract_x
_atom_site_fract_y
_atom_site_fract_z
_atom_site_occupancy
La1 0.0000 0.0000 0.0000 1
Y1 0.5000 0.5000 0.5000 1
Sb1 0.0000 0.5000 0.5000 1
Te1 0.5000 0.5000 0.0000 1
# **Volume**: 186.05 Å³/cell
# **Fermi-level density of states**: 5.318 states/eV/cell

***

Q: Which of them is the most stable? A: model b.

***

Model a:
# LaZnSbTe2 (PBE, optimized geometry)
data_LaZnSbTe2
_chemical_formula_sum 'La1 Zn1 Sb1 Te2'
_cell_length_a 5.4085
_cell_length_b 5.4085
_cell_length_c 5.1624
_cell_angle_alpha 90.00
_cell_angle_beta 90.00
_cell_angle_gamma 90.00
_symmetry_space_group_name_H-M 'P 4/m m m'
_symmetry_Int_Tables_number 123
_symmetry_space_group_name_Hall '-P 4 2'
loop_
_atom_site_label
_atom_site_fract_x
_atom_site_fract_y
_atom_site_fract_z
_atom_site_occupancy
La1 0.0000 0.0000 0.0000 1
Zn1 0.5000 0.5000 0.5000 1
Sb1 0.5000 0.5000 0.0000 1
Te1 0.0000 0.5000 0.5000 1
# **Volume**: 151.01 Å³/cell
# **Fermi-level density of states**: 5.032 states/eV/cell

***

Model b:
# LaZnSbTe2 (PBE, optimized geometry)
data_LaZnSbTe2
_chemical_formula_sum 'La1 Zn1 Sb1 Te2'
_cell_length_a 6.1360
_cell_length_b 6.1360
_cell_length_c 6.3149
_cell_angle_alpha 90.00
_cell_angle_beta 90.00
_cell_angle_gamma 90.00
_symmetry_space_group_name_H-M 'P 4/m m m'
_symmetry_Int_Tables_number 123
_symmetry_space_group_name_Hall '-P 4 2'
loop_
_atom_site_label
_atom_site_fract_x
_atom_site_fract_y
_atom_site_fract_z
_atom_site_occupancy
La1 0.0000 0.0000 0.0000 1
Zn1 0.5000 0.5000 0.5000 1
Sb1 0.0000 0.0000 0.5000 1
Te1 0.0000 0.5000 0.0000 1
# **Volume**: 237.76 Å³/cell
# **Fermi-level density of states**: 8.150 states/eV/cell

***

Q: Which of them is the most stable? A: model a.

***

Model a:
# LaThSb2 (PBE, optimized geometry)
data_LaThSb2
_chemical_formula_sum 'La3 Th3 Sb6'
_cell_length_a 4.4350
_cell_length_b 4.4350
_cell_length_c 23.9294
_cell_angle_alpha 90.00
_cell_angle_beta 90.00
_cell_angle_gamma 120.00
_symmetry_space_group_name_H-M 'R 3 m'
_symmetry_Int_Tables_number 160
_symmetry_space_group_name_Hall 'R 3 -2"'
loop_
_atom_site_label
_atom_site_fract_x
_atom_site_fract_y
_atom_site_fract_z
_atom_site_occupancy
La1 0.0000 0.0000 0.0000 1
Th1 0.0000 0.0000 0.8282 1
Sb1 0.0000 0.0000 0.4142 1
Sb2 0.0000 0.0000 0.5789 1
# **Volume**: 407.61 Å³/cell
# **Fermi-level density of states**: 7.942 states/eV/cell

***

Model b:
# LaThSb2 (PBE, optimized geometry)
data_LaThSb2
_chemical_formula_sum 'La1 Th1 Sb2'
_cell_length_a 3.8974
_cell_length_b 3.8974
_cell_length_c 7.8761
_cell_angle_alpha 90.00
_cell_angle_beta 90.00
_cell_angle_gamma 90.00
_symmetry_space_group_name_H-M 'P 4/m m m'
_symmetry_Int_Tables_number 123
_symmetry_space_group_name_Hall '-P 4 2'
loop_
_atom_site_label
_atom_site_fract_x
_atom_site_fract_y
_atom_site_fract_z
_atom_site_occupancy
La1 0.0000 0.0000 0.0000 1
Th1 0.0000 0.0000 0.5000 1
Sb1 0.5000 0.5000 0.2584 1
# **Volume**: 119.63 Å³/cell
# **Fermi-level density of states**: 3.979 states/eV/cell

***

Model c:
# LaThSb2 (PBE, optimized geometry)
data_LaThSb2
_chemical_formula_sum 'La3 Th3 Sb6'
_cell_length_a 4.5557
_cell_length_b 4.5557
_cell_length_c 22.4052
_cell_angle_alpha 90.00
_cell_angle_beta 90.00
_cell_angle_gamma 120.00
_symmetry_space_group_name_H-M 'R -3 m'
_symmetry_Int_Tables_number 166
_symmetry_space_group_name_Hall '-R 3 2"'
loop_
_atom_site_label
_atom_site_fract_x
_atom_site_fract_y
_atom_site_fract_z
_atom_site_occupancy
La1 0.0000 0.0000 0.0000 1
Th1 0.0000 0.0000 0.5000 1
Sb1 0.0000 0.0000 0.2478 1
# **Volume**: 402.70 Å³/cell
# **Fermi-level density of states**: 6.589 states/eV/cell

***

Q: Which of them is the most stable? A: model c.